1.
Below is a relaxed structure of AcCdPt4, with properties calculated at the GGA-PBE level.

## Properties
ΔE_f = -0.784 eV/atom
D(E_F) = 0.6260 states/eV per atom

Structure (POSCAR):
```
AcCdPt4
1.0
5.524 0.000 0.000
2.762 4.784 0.000
2.762 1.595 4.511
Pt Cd Ac
4 1 1
Direct
0.626 0.626 0.626
0.626 0.626 0.122
0.626 0.122 0.626
0.122 0.626 0.626
0.000 0.000 0.000
0.250 0.250 0.250
```


2.
Below is a relaxed structure of Nb3ReMo4, with properties calculated at the GGA-PBE level.

## Properties
energy above the most stable polymorph in this dataset = 0 meV/atom
ΔE_f = -0.101 eV/atom
D(E_F) = 0.7220 states/eV per atom

Structure (POSCAR):
```
Nb3ReMo4
1.0
-2.068 2.263 0.934
-1.733 -2.216 1.534
6.950 1.949 10.665
Nb Mo Re
3 4 1
Direct
0.500 0.500 0.248
0.500 0.500 0.752
0.500 0.500 0.500
0.000 0.000 0.120
0.000 0.000 0.880
0.000 0.000 0.627
0.000 0.000 0.373
0.500 0.500 0.000
```